(1)
# GdZnAgRh

A geometry-optimized GdZnAgRh structure (PBE, Alexandria).

For the total magnetization, the calculation gives 7.071 Bohr magnetons per cell.

abc: 4.7441 4.7441 4.7441
angles: 60.00 60.00 60.00
Site moments in Bohr magnetons follow the coordinates.
Fractional positions:
Gd1 0.7500 0.7500 0.7500  6.99
Ag1 0.0000 0.0000 0.0000  0.01
Rh1 0.5000 0.5000 0.5000  -0.02
Zn1 0.2500 0.2500 0.2500  -0.01

---

(2)
# SrLa3V

A geometry-optimized SrLa3V structure (PBE, Alexandria).

For the total magnetization, the calculation gives 0.761 Bohr magnetons per cell.

abc: 5.6788 5.6788 5.6788
angles: 90.00 90.00 90.00
Site moments in Bohr magnetons follow the coordinates.
Fractional positions:
La1 0.0000 0.5000 0.0000  0.03
La2 0.5000 0.0000 0.0000  0.03
La3 0.0000 0.0000 0.5000  0.03
Sr1 0.5000 0.5000 0.5000  0.00
V1 0.0000 0.0000 0.0000  0.56

---

(3)
# La2PrI6

A geometry-optimized La2PrI6 structure (PBE, Alexandria).

The calculation puts the distance to the lowest polymorph of the same formula at 0.000 eV/atom. For the total magnetization, the calculation gives 0.000 Bohr magnetons per cell. Its formation energy (no corrections) is -1365 meV per atom.

abc: 4.3325 9.0442 11.7501
angles: 114.83 90.00 103.86
Fractional positions:
I1 0.0091 0.0182 0.7849
I2 0.3047 0.6094 0.8863
I3 0.3541 0.7083 0.4629
I4 0.6953 0.3906 0.1137
I5 0.6459 0.2917 0.5371
I6 0.9909 0.9818 0.2151
La1 0.3496 0.6993 0.1916
La2 0.6503 0.3007 0.8084
Pr1 0.0000 0.0000 0.5000

---

(4)
# CsMgTlBr6

A geometry-optimized CsMgTlBr6 structure (PBE, Alexandria).

For the total magnetization, the calculation gives 0.000 Bohr magnetons per cell. Its formation energy (no corrections) is -1116 meV per atom.

abc: 7.1493 7.1493 8.1939
angles: 90.02 89.98 59.96
Fractional positions:
Br1 0.6304 0.3809 0.6949
Br2 0.9889 0.3807 0.3051
Br3 0.6306 0.9884 0.3051
Br4 0.3807 0.9889 0.6949
Br5 0.9884 0.6307 0.6949
Br6 0.3809 0.6304 0.3051
Tl1 0.3334 0.3334 0.5000
Cs1 0.0000 0.0000 0.0000
Mg1 0.6666 0.6666 0.5000

---

(5)
# NaSrPmAg

A geometry-optimized NaSrPmAg structure (PBE, Alexandria).

For the total magnetization, the calculation gives 0.000 Bohr magnetons per cell.

abc: 5.6117 5.6117 5.6117
angles: 60.00 60.00 60.00
Fractional positions:
Sr1 0.0000 0.0000 0.0000
Na1 0.2500 0.2500 0.2500
Pm1 0.5000 0.5000 0.5000
Ag1 0.7500 0.7500 0.7500

---

(6)
# MgTaSN2

A geometry-optimized MgTaSN2 structure (PBE, Alexandria).

The calculation puts the distance to the lowest polymorph of the same formula at 0.000 eV/atom. For the total magnetization, the calculation gives 0.398 Bohr magnetons per cell. Its formation energy (no corrections) is -306 meV per atom.

abc: 3.9773 3.9773 5.1413
angles: 90.00 90.00 90.00
Site moments in Bohr magnetons follow the coordinates.
Fractional positions:
Ta1 0.0000 0.0000 0.0000  -0.02
S1 0.0000 0.0000 0.5000  0.00
N1 0.0000 0.5000 0.0000  0.15
N2 0.5000 0.0000 0.0000  0.15
Mg1 0.5000 0.5000 0.5000  0.00

---

(7)
# Ba2AlPbAu6

A geometry-optimized Ba2AlPbAu6 structure (PBE, Alexandria).

For the total magnetization, the calculation gives 0.000 Bohr magnetons per cell.

abc: 7.5944 7.1246 7.5957
angles: 75.49 47.63 95.60
Fractional positions:
Pb1 0.5000 0.5000 0.0000
Au1 0.7320 0.7556 0.4790
Au2 0.2441 0.3797 0.8627
Au3 0.7559 0.6203 0.1373
Au4 0.2347 0.7554 0.9751
Au5 0.7653 0.2446 0.0249
Au6 0.2680 0.2444 0.5210
Ba1 0.2431 0.7831 0.4606
Ba2 0.7569 0.2170 0.5393
Al1 0.0000 0.0000 0.0000

---

(8)
# TmTh2Ag6

A geometry-optimized TmTh2Ag6 structure (PBE, Alexandria).

For the total magnetization, the calculation gives 0.000 Bohr magnetons per cell.

abc: 3.3656 8.4002 8.4002
angles: 120.00 90.00 90.00
Fractional positions:
Ag1 0.5000 0.6705 0.0000
Ag2 0.5000 0.3295 0.3295
Ag3 0.5000 0.0000 0.6705
Ag4 0.5000 0.6705 0.6705
Ag5 0.5000 0.0000 0.3295
Ag6 0.5000 0.3295 0.0000
Tm1 0.0000 0.0000 0.0000
Th1 0.0000 0.3333 0.6667
Th2 0.0000 0.6667 0.3333

---

Uncorrected energy / eV per cell: -26.94 -23.96 -36.22 -24.90 -10.35 -35.75 -35.76 -37.92